! PtPb3Se, relaxed, DFT GGA-PBE; values from VASP
&SYSTEM
  ibrav = 0, nat = 5, ntyp = 3
/
ATOMIC_SPECIES
Pt 195.08 Pt.upf
Pb 207.20 Pb.upf
Se 78.96 Se.upf
ATOMIC_POSITIONS angstrom
Pt 0.000 0.000 0.000
Pb 0.000 0.000 2.700
Pb 0.000 2.700 0.000
Pb 2.700 0.000 0.000
Se 2.700 2.700 2.700
CELL_PARAMETERS angstrom
5.399 0.000 0.000
0.000 5.399 0.000
0.000 0.000 5.399
! Crystal system: cubic
! E_tot (eV per atom): -4.089